Crystalline RbBa2NiHg at its relaxed geometry. Source: Alexandria, functional PBE-GGA.

Cell lengths 6.1238, 6.1238, 5.3593 Å; angles 90.00, 90.00, 90.00 degrees
Closest atoms and distances in Å follow each position.
Space group P4/mmm (No. 123)
Unique sites:
Rb1 0.0000 0.0000 0.0000 (multiplicity 1)  8 Ba 4.07, 4 Hg 4.33
Ba1 0.0000 0.5000 0.5000 (multiplicity 2)  2 Ni 3.06
Ni1 0.5000 0.5000 0.5000 (multiplicity 1)  2 Hg 2.68
Hg1 0.5000 0.5000 0.0000 (multiplicity 1)  2 Ni 2.68

- Calculated total energy: -0.159 Ry/atom
- Formation enthalpy at 0 K: 0.012 eV per atom

***

Crystalline ZrSbI2Br at its relaxed geometry. Source: Alexandria, functional PBE-GGA.

Cell lengths 5.5914, 5.5914, 5.8317 Å; angles 90.00, 90.00, 90.00 degrees
Closest atoms and distances in Å follow each position.
Space group P4/mmm (No. 123)
Unique sites:
Zr1 0.0000 0.0000 0.0000 (multiplicity 1)  4 I 2.80, 2 Sb 2.92
Sb1 0.0000 0.0000 0.5000 (multiplicity 1)  2 Zr 2.92
I1 0.0000 0.5000 0.0000 (multiplicity 2)  2 Zr 2.80
Br1 0.5000 0.5000 0.5000 (multiplicity 1)  4 Sb 3.95, 8 I 4.04

- Calculated total energy: -0.272 Ry/atom
- ΔE to the lowest computed polymorph: 0 meV per atom
- E_form (uncorrected): -0.209 eV/atom

***

Crystalline Ce2Tl6Cd at its relaxed geometry. Source: Alexandria, functional PBE-GGA.

Cell lengths 8.9911, 17.0238, 3.4223 Å; angles 90.00, 90.00, 90.00 degrees
Closest atoms and distances in Å follow each position.
Space group Cmmm (No. 65)
Unique sites:
Ce1 0.0000 0.1876 0.0000 (multiplicity 4)  10 Tl 3.40-3.58, 2 Ce 3.42
Tl1 0.1776 0.3407 0.5000 (multiplicity 8)  1 Cd 3.15, 6 Tl 3.19-3.45, 4 Ce 3.40-3.50
Tl2 0.1807 0.0000 0.0000 (multiplicity 4)  7 Tl 3.25-3.45, 2 Cd 3.34, 2 Ce 3.58
Cd1 0.0000 0.5000 0.5000 (multiplicity 2)  8 Tl 3.15-3.34, 2 Cd 3.42

- Calculated total energy: -0.223 Ry/atom
- Formation enthalpy at 0 K: -0.040 eV per atom

***

Crystalline LiYBr at its relaxed geometry. Source: Alexandria, functional PBE-GGA.

Cell lengths 6.8065, 6.8065, 6.8065 Å; angles 90.00, 90.00, 90.00 degrees
Closest atoms and distances in Å follow each position.
Space group F-43m (No. 216)
Unique sites:
Li1 0.0000 0.0000 0.0000 (multiplicity 4)  4 Br 2.95
Y1 0.0000 0.0000 0.5000 (multiplicity 4)  4 Br 2.95
Br1 0.2500 0.2500 0.2500 (multiplicity 4)  4 Li 2.95, 4 Y 2.95

- Calculated total energy: -0.264 Ry/atom
- ΔE to the lowest computed polymorph: 517 meV per atom
- E_form (uncorrected): -0.239 eV/atom

***

Crystalline Th12TcBi6 at its relaxed geometry. Source: Alexandria, functional PBE-GGA.

Cell lengths 13.4233, 13.4233, 12.4904 Å; angles 90.00, 90.00, 120.00 degrees
Closest atoms and distances in Å follow each position.
Space group R-3 (No. 148, hexagonal axes)
Unique sites:
Th1 0.0298 0.1795 0.3867 (multiplicity 18)  4 Bi 3.27-3.40, 3 Th 3.56-3.61
Th2 0.0811 0.1899 0.8652 (multiplicity 18)  1 Tc 2.78
Tc1 0.0000 0.0000 0.0000 (multiplicity 3)  6 Th 2.78
Bi1 0.0314 0.4106 0.2959 (multiplicity 18)  7 Th 3.24-3.45

- Calculated total energy: -0.485 Ry/atom
- Formation enthalpy at 0 K: -0.138 eV per atom

***

Crystalline CsBa2Au2 at its relaxed geometry. Source: Alexandria, functional PBE-GGA.

Cell lengths 5.7257, 5.7257, 12.9856 Å; angles 90.00, 90.00, 90.00 degrees
Closest atoms and distances in Å follow each position.
Space group I4/mmm (No. 139)
Unique sites:
Cs1 0.0000 0.0000 0.0000 (multiplicity 2)  8 Au 4.30, 8 Ba 4.33
Ba1 0.0000 0.5000 0.2500 (multiplicity 4)  4 Au 3.39
Au1 0.0000 0.0000 0.3891 (multiplicity 4)  1 Au 2.88

- Calculated total energy: -0.194 Ry/atom
- Formation enthalpy at 0 K: -0.383 eV per atom
- ΔE to the lowest computed polymorph: 67 meV per atom

***

Crystalline PmNdSm6Y2 at its relaxed geometry. Source: Alexandria, functional PBE-GGA.

Cell lengths 9.4984, 15.1452, 9.5231 Å; angles 90.00, 95.43, 90.00 degrees
Closest atoms and distances in Å follow each position.
Space group C2/c (No. 15)
Unique sites:
Pm1 0.0000 0.0904 0.2500 (multiplicity 4)  6 Sm 3.47-3.53, 2 Y 3.56
Nd1 0.0000 0.4593 0.7500 (multiplicity 4)  4 Y 3.42-3.57, 6 Sm 3.53-3.72
Sm1 0.0663 0.3278 0.4405 (multiplicity 8)  7 Sm 3.47-3.85, 2 Y 3.55-3.86, 2 Nd 3.66-3.72
Sm2 0.0887 0.1169 0.6138 (multiplicity 8)  4 Sm 3.22-3.59, 3 Y 3.39-3.54, 2 Pm 3.51-3.53
Sm3 0.2208 0.2738 0.8190 (multiplicity 8)  2 Sm 3.25-3.51, 1 Pm 3.47, 2 Y 3.51-3.64, 1 Nd 3.53
Y1 0.2492 0.4527 0.0543 (multiplicity 8)  6 Sm 3.39-3.64, 2 Nd 3.42-3.57, 1 Pm 3.56

- Calculated total energy: -0.364 Ry/atom
- Formation enthalpy at 0 K: 0.119 eV per atom

***

Crystalline ErNpGe4 at its relaxed geometry. Source: Alexandria, functional PBE-GGA.

Cell lengths 7.8741, 7.8741, 7.8741 Å; angles 90.00, 90.00, 90.00 degrees
Closest atoms and distances in Å follow each position.
Space group F-43m (No. 216)
Unique sites:
Er1 0.0000 0.0000 0.0000 (multiplicity 4)  12 Ge 3.26, 4 Np 3.41
Np1 0.2500 0.2500 0.2500 (multiplicity 4)  12 Ge 3.26, 4 Er 3.41
Ge1 0.1249 0.1249 0.6249 (multiplicity 16)  6 Ge 2.78-2.79

- Calculated total energy: -0.450 Ry/atom
- Formation enthalpy at 0 K: -0.130 eV per atom

***

Crystalline K3Pa2S3O4 at its relaxed geometry. Source: Alexandria, functional PBE-GGA.

Cell lengths 4.3020, 5.4386, 24.4612 Å; angles 90.00, 90.00, 90.00 degrees
Closest atoms and distances in Å follow each position.
Space group Immm (No. 71)
Unique sites:
K1 0.0000 0.0000 0.0000 (multiplicity 2)  8 S 3.24-3.47
K2 0.0000 0.0000 0.1977 (multiplicity 4)  1 O 2.62
Pa1 0.0000 0.0000 0.3853 (multiplicity 4)  3 O 1.97-2.15
S1 0.0000 0.0000 0.5000 (multiplicity 2)  2 Pa 2.81
S2 0.0000 0.5000 0.4007 (multiplicity 4)  2 Pa 2.75
O1 0.0000 0.0000 0.3050 (multiplicity 4)  1 Pa 1.97
O2 0.0000 0.5000 0.1148 (multiplicity 4)  2 Pa 2.15

- Calculated total energy: -0.496 Ry/atom
- E_form (uncorrected): -2.206 eV/atom

***

Crystalline KBaCd2Bi2 at its relaxed geometry. Source: Alexandria, functional PBE-GGA.

Cell lengths 5.2143, 5.2143, 9.5845 Å; angles 90.00, 90.00, 120.00 degrees
Closest atoms and distances in Å follow each position.
Space group P-3m1 (No. 164)
Unique sites:
K1 0.0000 0.0000 0.0000 (multiplicity 1)  6 Bi 3.90, 6 Cd 3.99
Ba1 0.0000 0.0000 0.5000 (multiplicity 1)  6 Cd 3.71, 6 Bi 3.80
Cd1 0.3333 0.6667 0.7264 (multiplicity 2)  3 Bi 3.01
Bi1 0.3333 0.6667 0.2586 (multiplicity 2)  3 Cd 3.01

- Calculated total energy: -0.187 Ry/atom
- Formation enthalpy at 0 K: -0.441 eV per atom

***

Crystalline Ni2RhW at its relaxed geometry. Source: Alexandria, functional PBE-GGA.

Cell lengths 4.3063, 5.2256, 4.5853 Å; angles 90.00, 90.00, 90.00 degrees
Closest atoms and distances in Å follow each position.
Space group Pmmn (No. 59, origin choice 2)
Unique sites:
Ni1 0.2500 0.0008 0.1556 (multiplicity 4)  4 Ni 2.58-2.62, 4 W 2.60-2.68, 4 Rh 2.60-2.67
Rh1 0.2500 0.2500 0.6643 (multiplicity 2)  8 Ni 2.60-2.67, 4 W 2.61-2.63
W1 0.2500 0.7500 0.6663 (multiplicity 2)  8 Ni 2.60-2.68, 4 Rh 2.61-2.63

- Calculated total energy: -0.595 Ry/atom
- Formation enthalpy at 0 K: -0.135 eV per atom
- ΔE to the lowest computed polymorph: 19 meV per atom

***

Crystalline BaAs2IrSe8 at its relaxed geometry. Source: Alexandria, functional PBE-GGA.

Cell lengths 6.1304, 6.1304, 9.4340 Å; angles 90.00, 90.00, 120.00 degrees
Closest atoms and distances in Å follow each position.
Space group P-3 (No. 147)
Unique sites:
Ba1 0.0000 0.0000 0.0000 (multiplicity 1)  12 Se 3.55-3.74
As1 0.3333 0.6667 0.7305 (multiplicity 2)  4 Se 2.32-2.48
Ir1 0.0000 0.0000 0.5000 (multiplicity 1)  6 Se 2.51
Se1 0.0655 0.7152 0.3362 (multiplicity 6)  1 As 2.48, 1 Ir 2.51
Se2 0.3333 0.6667 0.9765 (multiplicity 2)  1 As 2.32

- Calculated total energy: -0.321 Ry/atom
- E_form (uncorrected): -0.366 eV/atom